1.
# HoCdIn, relaxed, DFT PBE-GGA
# calculated volume	29.1	Å³ per atom
# formation energy from the elements	0.285	eV per atom
data_HoCdIn
_symmetry_space_group_name_H-M 'I 4 m m'
_symmetry_Int_Tables_number 107
_symmetry_space_group_name_Hall 'I 4 -2'
_cell_length_a 3.152
_cell_length_b 3.152
_cell_length_c 17.541
_cell_angle_alpha 90.00
_cell_angle_beta 90.00
_cell_angle_gamma 90.00
loop_
_atom_site_label
_atom_site_fract_x
_atom_site_fract_y
_atom_site_fract_z
Ho1 0.000 0.000 0.000
Cd1 0.000 0.000 0.821
In1 0.000 0.000 0.180

***

2.
# Mg2ZnCoC, relaxed, DFT PBE-GGA
# calculated volume	14.4	Å³ per atom
# formation energy from the elements	0.074	eV per atom
data_Mg2ZnCoC
_symmetry_space_group_name_H-M 'P 4/m m m'
_symmetry_Int_Tables_number 123
_symmetry_space_group_name_Hall '-P 4 2'
_cell_length_a 4.463
_cell_length_b 4.463
_cell_length_c 3.607
_cell_angle_alpha 90.00
_cell_angle_beta 90.00
_cell_angle_gamma 90.00
loop_
_atom_site_label
_atom_site_fract_x
_atom_site_fract_y
_atom_site_fract_z
Mg1 0.000 0.500 0.000
Zn1 0.000 0.000 0.500
Co1 0.500 0.500 0.500
C1 0.500 0.500 0.000

***

3.
# V2SbRu2, relaxed, DFT PBE-GGA
# formation energy without anion corrections	-0.044	eV/atom
# calculated volume	15.7	Å³ per atom
# excess energy over the best structure of this formula in the dataset	0.0000	eV/atom
data_V2SbRu2
_symmetry_space_group_name_H-M 'P 4/m b m'
_symmetry_Int_Tables_number 127
_symmetry_space_group_name_Hall '-P 4 2ab'
_cell_length_a 7.351
_cell_length_b 7.351
_cell_length_c 2.905
_cell_angle_alpha 90.00
_cell_angle_beta 90.00
_cell_angle_gamma 90.00
loop_
_atom_site_label
_atom_site_fract_x
_atom_site_fract_y
_atom_site_fract_z
V1 0.153 0.347 0.000
Sb1 0.000 0.000 0.500
Ru1 0.135 0.635 0.500